Here is a geometry-optimized Zn2OsW structure from the Alexandria database. Energies are from GGA-PBE.

Unit cell a=2.769 b=4.132 c=5.183 alpha=90.00 beta=90.00 gamma=90.00
Atoms (fractional coordinates):
Zn 0.000 0.000 0.004
W 0.500 0.500 0.750
Zn 0.000 0.000 0.496
Os 0.500 0.500 0.250

crystal system	orthorhombic
DFT formation energy	412	meV per atom
energy above the lowest structure with this stoichiometry	1.254	eV/f.u.